[1]
The following is a DFT calculation (PBE) of an optimized crystal structure of Co2IrRh.

Results
V   12.6 A^3/atom
Energy above the most stable polymorph in this dataset   0.05 eV per formula unit
Energy of formation   0.06 eV per atom
Crystal system   orthorhombic
Spin magnetization   2.92 μB/f.u.

```
Co2IrRh
1.0
4.472 -0.016 0.000
-1.331 4.269 0.000
0.000 0.000 2.652
Co Rh Ir
2 1 1
Cartesian
1.570 2.127 0.000
0.000 0.000 0.000
-0.666 2.134 1.326
2.236 -0.008 1.326
```

***

[2]
The following is a DFT calculation (PBE) of an optimized crystal structure of Co2IrRh.

Results
V   13.2 A^3/atom
Energy above the most stable polymorph in this dataset   0.66 eV per formula unit
Energy of formation   0.21 eV per atom
Crystal system   cubic
Spin magnetization   5.98 μB/f.u.

```
Co2IrRh
1.0
2.197 0.833 3.489
2.868 3.077 -0.005
-0.719 3.548 2.141
Co Ir Rh
2 1 1
Cartesian
1.087 1.864 1.406
3.260 5.593 4.219
2.173 3.729 2.812
0.000 0.000 0.000
```

***

[3]
The following is a DFT calculation (PBE) of an optimized crystal structure of Co2IrRh2.

Results
V   14.2 A^3/atom
Energy above the most stable polymorph in this dataset   0.33 eV per formula unit
Energy of formation   0.30 eV per atom
Crystal system   monoclinic
Spin magnetization   4.70 μB/f.u.

```
Co2IrRh2
1.0
0.345 4.450 0.701
1.732 -1.870 6.210
3.307 1.216 2.800
Co Ir Rh
2 1 2
Cartesian
2.519 -0.327 4.505
1.826 2.833 1.750
0.000 0.000 0.000
1.336 2.157 4.385
4.048 1.639 5.325
```

***

[4]
The following is a DFT calculation (PBE) of an optimized crystal structure of Co2IrRh.

Results
V   13.4 A^3/atom
Energy above the most stable polymorph in this dataset   0.78 eV per formula unit
Energy of formation   0.24 eV per atom
Crystal system   orthorhombic
Spin magnetization   5.14 μB/f.u.

```
Co2IrRh
1.0
2.635 0.011 0.000
-1.226 2.333 0.000
0.000 0.000 8.679
Ir Co Rh
1 2 1
Cartesian
0.705 1.172 2.170
0.000 0.000 8.671
0.000 0.000 4.348
0.705 1.172 6.510
```

***

[5]
The following is a DFT calculation (PBE) of an optimized crystal structure of CoIr2Rh5.

Results
V   14.0 A^3/atom
Energy above the most stable polymorph in this dataset   0.00 eV per formula unit
Energy of formation   0.03 eV per atom
Crystal system   tetragonal
Spin magnetization   2.40 μB/f.u.

```
CoIr2Rh5
1.0
3.759 0.000 -0.729
-0.141 3.757 -0.729
-0.387 -0.402 8.062
Rh Ir Co
5 2 1
Cartesian
1.809 1.878 -0.729
2.232 0.365 1.450
0.281 2.244 1.450
2.950 1.111 5.154
0.999 2.989 5.154
0.711 0.738 3.666
2.520 2.617 2.938
0.000 0.000 0.000
```

***

[6]
The following is a DFT calculation (PBE) of an optimized crystal structure of CoIrRh3.

Results
V   16.7 A^3/atom
Energy above the most stable polymorph in this dataset   4.69 eV per formula unit
Energy of formation   1.34 eV per atom
Crystal system   cubic
Spin magnetization   3.72 μB/f.u.

```
CoIrRh3
1.0
-2.670 -2.636 2.243
3.238 -0.903 2.794
-1.222 3.368 2.504
Rh Co Ir
3 1 1
Cartesian
1.619 -0.451 1.397
-0.611 1.684 1.252
-1.335 -1.318 1.121
0.000 0.000 0.000
-0.327 -0.086 3.771
```

***

[7]
The following is a DFT calculation (PBE) of an optimized crystal structure of Co2IrRh2.

Results
V   14.3 A^3/atom
Energy above the most stable polymorph in this dataset   1.80 eV per formula unit
Energy of formation   0.59 eV per atom
Crystal system   tetragonal
Spin magnetization   5.94 μB/f.u.

```
Co2IrRh2
1.0
2.078 0.259 5.647
-1.720 -3.100 4.869
1.543 -0.398 -5.808
Co Rh Ir
2 2 1
Cartesian
0.144 -1.146 4.241
0.214 -1.695 6.275
0.001 -2.460 2.159
1.900 -0.780 2.549
0.000 0.000 0.000
```

***

[8]
The following is a DFT calculation (PBE) of an optimized crystal structure of CoIr2Rh4.

Results
V   15.0 A^3/atom
Energy above the most stable polymorph in this dataset   0.00 eV per formula unit
Energy of formation   0.43 eV per atom
Crystal system   cubic
Spin magnetization   2.43 μB/f.u.

```
CoIr2Rh4
1.0
-5.230 -3.904 5.284
2.630 -2.166 7.675
-2.946 4.044 6.745
Rh Ir Co
16 8 4
Cartesian
-3.766 0.001 5.885
0.993 -1.014 3.967
0.251 -1.658 8.634
-0.851 0.685 9.673
-1.310 -2.734 6.295
-0.304 0.767 6.938
-3.466 -1.267 12.315
-1.993 -3.289 8.943
-2.469 -1.780 2.914
-5.796 -0.368 11.070
-2.676 -3.843 11.591
-1.462 1.721 3.557
-1.398 0.604 12.408
-2.869 1.816 8.113
-4.148 -2.631 7.296
-4.781 -0.184 8.478
-3.554 -3.285 14.073
-2.668 -0.202 14.639
-4.263 -2.331 9.991
-2.235 -0.817 7.942
-4.696 -1.716 16.689
-1.215 -1.657 10.918
-3.377 0.751 10.558
-5.717 -0.876 13.712
-0.693 -0.253 2.463
-2.166 1.769 5.835
-3.308 -2.205 5.105
0.622 -1.336 6.301
```

***

[9]
The following is a DFT calculation (PBE) of an optimized crystal structure of Co2IrRh.

Results
V   12.6 A^3/atom
Energy above the most stable polymorph in this dataset   0.06 eV per formula unit
Energy of formation   0.06 eV per atom
Crystal system   tetragonal
Spin magnetization   2.69 μB/f.u.

```
Co2IrRh
1.0
-0.973 -4.336 0.385
1.420 -1.311 4.020
-2.583 3.445 -1.166
Co Rh Ir
2 1 1
Cartesian
0.224 -2.824 2.202
0.000 0.000 0.000
-1.666 -1.858 0.710
-0.469 -0.345 2.528
```

***

[10]
The following is a DFT calculation (PBE) of an optimized crystal structure of CoIr2Rh6.

Results
V   14.5 A^3/atom
Energy above the most stable polymorph in this dataset   0.00 eV per formula unit
Energy of formation   0.20 eV per atom
Crystal system   orthorhombic
Spin magnetization   2.49 μB/f.u.

```
CoIr2Rh6
1.0
-1.793 -0.849 1.797
-5.068 -8.529 -9.087
5.748 2.133 4.751
Rh Co Ir
6 1 2
Cartesian
2.399 -0.179 2.310
0.628 -3.159 -0.865
-1.622 -1.645 -0.401
-3.512 -7.066 -4.848
-5.240 -7.733 -6.888
-1.741 -4.086 -1.673
-2.534 -4.264 -4.543
-1.991 -6.277 -2.957
0.878 -0.968 0.418
```

***

[11]
The following is a DFT calculation (PBE) of an optimized crystal structure of Co3IrRh6.

Results
V   14.3 A^3/atom
Energy of formation   0.30 eV per atom
Crystal system   trigonal
Spin magnetization   7.88 μB/f.u.

```
Co3IrRh6
1.0
6.603 0.413 0.422
0.269 6.611 0.422
0.269 0.275 6.619
Rh Co Ir
12 6 2
Cartesian
6.034 3.011 3.394
2.632 5.875 5.696
1.108 4.288 4.069
1.636 4.547 1.463
1.326 1.665 4.579
4.511 1.424 1.767
3.195 6.105 3.086
3.948 1.194 4.377
2.880 3.258 6.172
5.816 5.634 2.884
5.506 2.752 6.000
4.263 4.041 1.291
0.710 0.483 2.353
4.817 6.539 6.928
0.468 2.336 0.772
2.326 0.760 0.535
6.433 6.816 5.110
6.675 4.963 6.691
3.571 3.650 3.731
0.000 0.000 0.000
```

***

[12]
The following is a DFT calculation (PBE) of an optimized crystal structure of Co2IrRh2.

Results
V   13.4 A^3/atom
Energy above the most stable polymorph in this dataset   0.00 eV per formula unit
Energy of formation   0.23 eV per atom
Crystal system   tetragonal
Spin magnetization   5.84 μB/f.u.

```
Co2IrRh2
1.0
-5.841 1.941 -3.307
-3.822 -2.466 5.304
0.120 2.459 1.230
Co Ir Rh
4 2 4
Cartesian
-7.510 0.178 0.379
-5.582 -1.433 3.410
-4.082 0.907 -1.414
-2.154 -0.704 1.617
0.000 0.000 0.000
-4.832 -0.263 0.998
-2.504 1.421 0.483
-3.558 -0.096 3.620
-5.985 2.030 -0.393
-7.040 0.512 2.744
```

***

[13]
The following is a DFT calculation (PBE) of an optimized crystal structure of CoIr6Rh8.

Results
V   14.7 A^3/atom
Energy above the most stable polymorph in this dataset   0.00 eV per formula unit
Energy of formation   0.29 eV per atom
Crystal system   trigonal
Spin magnetization   0.00 μB/f.u.

```
CoIr6Rh8
1.0
3.697 -6.403 0.000
3.697 6.403 0.000
0.000 0.000 4.659
Ir Rh Co
6 8 1
Cartesian
4.269 -0.681 3.280
3.124 0.681 1.380
2.152 -2.365 3.280
2.725 3.357 1.380
4.669 -3.357 3.280
5.241 2.365 1.380
1.851 0.303 3.725
6.206 1.451 3.725
3.697 -2.134 0.947
5.543 -0.303 0.934
1.188 -1.451 0.934
4.360 -4.649 0.934
3.034 4.649 3.725
3.697 2.134 3.712
0.000 0.000 2.330
```

***

[14]
The following is a DFT calculation (PBE) of an optimized crystal structure of Co2IrRh8.

Results
V   15.8 A^3/atom
Energy above the most stable polymorph in this dataset   3.13 eV per formula unit
Energy of formation   0.51 eV per atom
Crystal system   monoclinic
Spin magnetization   4.51 μB/f.u.

```
Co2IrRh8
1.0
-3.589 0.979 2.032
2.041 -0.604 6.264
1.515 6.084 2.111
Rh Ir Co
8 1 2
Cartesian
1.428 1.918 6.269
-1.226 1.542 5.999
-1.461 4.541 4.137
-0.371 3.974 6.448
2.299 4.267 6.581
-2.333 2.192 3.826
0.338 2.485 3.959
1.192 4.917 4.407
0.000 0.000 0.000
1.121 5.307 8.404
-1.155 1.152 2.002
```

***

[15]
The following is a DFT calculation (PBE) of an optimized crystal structure of CoIr2Rh4.

Results
V   15.6 A^3/atom
Energy above the most stable polymorph in this dataset   0.18 eV per formula unit
Energy of formation   0.46 eV per atom
Crystal system   tetragonal
Spin magnetization   3.34 μB/f.u.

```
CoIr2Rh4
1.0
-3.046 0.233 4.545
0.207 -3.773 3.631
1.763 2.308 4.362
Ir Co Rh
2 1 4
Cartesian
0.985 -0.732 3.997
-0.538 -0.616 6.269
0.000 0.000 0.000
-2.942 -1.653 6.361
1.088 -2.618 5.812
-0.642 1.271 4.454
0.343 0.538 8.450
```

***

[16]
The following is a DFT calculation (PBE) of an optimized crystal structure of CoIr2Rh2.

Results
V   15.1 A^3/atom
Energy above the most stable polymorph in this dataset   1.84 eV per formula unit
Energy of formation   0.38 eV per atom
Crystal system   tetragonal
Spin magnetization   2.13 μB/f.u.

```
CoIr2Rh2
1.0
6.288 0.000 0.000
0.000 6.288 0.000
0.000 0.000 3.814
Rh Ir Co
4 4 2
Cartesian
2.159 0.985 1.907
4.129 5.303 1.907
0.985 4.129 1.907
5.303 2.159 1.907
5.413 4.020 0.000
0.875 2.269 0.000
4.020 0.875 0.000
2.269 5.413 0.000
0.000 0.000 0.000
3.144 3.144 0.000
```

***

[17]
The following is a DFT calculation (PBE) of an optimized crystal structure of CoIr3Rh6.

Results
V   14.1 A^3/atom
Energy above the most stable polymorph in this dataset   0.00 eV per formula unit
Energy of formation   0.05 eV per atom
Crystal system   monoclinic
Spin magnetization   3.39 μB/f.u.

```
CoIr3Rh6
1.0
-1.356 3.172 2.725
-3.342 3.271 -5.471
-5.464 -6.534 4.888
Rh Ir Co
12 6 2
Cartesian
-3.769 -1.412 1.541
-7.893 -1.981 3.698
-4.886 4.531 -2.387
-1.797 0.238 0.602
-5.276 -4.622 4.528
-6.392 1.320 0.601
-8.365 -0.329 1.540
-2.269 1.890 -1.556
-4.734 1.842 -2.727
-6.202 -1.371 0.282
-3.959 1.279 1.860
-5.428 -1.933 4.869
-8.183 -3.007 1.201
-4.433 2.908 -0.272
-5.729 -3.000 2.414
-5.889 -0.341 2.786
-4.273 0.249 -0.644
-1.979 2.916 0.940
-3.502 -0.356 3.991
-6.659 0.264 -1.849
```

***

[18]
The following is a DFT calculation (PBE) of an optimized crystal structure of Co2IrRh8.

Results
V   14.3 A^3/atom
Energy above the most stable polymorph in this dataset   0.00 eV per formula unit
Energy of formation   0.22 eV per atom
Crystal system   orthorhombic
Spin magnetization   4.78 μB/f.u.

```
Co2IrRh8
1.0
3.984 0.223 -0.148
-0.411 6.058 -1.964
0.210 0.458 6.362
Ir Rh Co
1 8 2
Cartesian
1.992 0.111 -0.074
-0.250 6.159 2.544
-0.084 4.667 4.762
3.867 2.073 -0.512
1.742 4.721 0.116
2.041 2.018 4.135
1.924 2.303 1.405
4.033 0.580 1.707
1.859 4.437 2.845
-0.030 2.623 3.143
-0.171 3.893 1.255
```

***

[19]
The following is a DFT calculation (PBE) of an optimized crystal structure of Co2IrRh.

Results
V   12.7 A^3/atom
Energy above the most stable polymorph in this dataset   0.04 eV per formula unit
Energy of formation   0.05 eV per atom
Crystal system   tetragonal
Spin magnetization   3.27 μB/f.u.

```
Co2IrRh
1.0
-0.074 -0.326 2.652
-2.343 -1.267 -0.221
3.427 -6.222 -0.670
Ir Rh Co
1 1 2
Cartesian
1.674 -3.040 -0.327
1.396 -5.526 0.706
-0.398 -2.268 1.057
0.051 -0.092 -0.010
```

***

[20]
The following is a DFT calculation (PBE) of an optimized crystal structure of Co2Ir2Rh.

Results
V   13.8 A^3/atom
Energy above the most stable polymorph in this dataset   1.15 eV per formula unit
Energy of formation   0.25 eV per atom
Crystal system   tetragonal
Spin magnetization   4.33 μB/f.u.

```
Co2Ir2Rh
1.0
-6.220 -3.067 1.762
3.379 -6.205 1.130
0.392 0.682 2.573
Rh Co Ir
2 4 4
Cartesian
-1.420 -4.636 1.446
0.000 0.000 0.000
-1.152 -6.869 3.404
1.407 -4.323 2.339
-1.297 -1.721 2.061
-3.856 -4.266 3.126
-3.285 -6.577 2.245
-3.479 -2.737 1.256
0.638 -6.535 1.635
0.444 -2.695 0.647
```

***

[21]
The following is a DFT calculation (PBE) of an optimized crystal structure of Co5Ir4Rh.

Results
V   12.6 A^3/atom
Energy of formation   0.05 eV per atom
Crystal system   triclinic
Spin magnetization   5.82 μB/f.u.

```
Co5Ir4Rh
1.0
4.445 -0.056 0.470
1.358 5.074 2.744
-0.416 2.080 6.598
Co Ir Rh
5 4 1
Cartesian
0.471 3.577 4.671
1.810 3.385 6.948
3.577 3.713 2.865
3.571 1.093 2.638
1.816 6.005 7.175
4.038 4.671 7.305
2.710 4.865 5.022
2.677 2.233 4.791
1.350 2.427 2.508
0.000 0.000 0.000
```

***

[22]
The following is a DFT calculation (PBE) of an optimized crystal structure of CoIrRh2.

Results
V   13.9 A^3/atom
Energy above the most stable polymorph in this dataset   1.00 eV per formula unit
Energy of formation   0.27 eV per atom
Crystal system   orthorhombic
Spin magnetization   2.40 μB/f.u.

```
CoIrRh2
1.0
-2.540 0.403 -0.825
-1.342 -3.601 2.376
-0.753 2.673 3.625
Rh Co Ir
2 1 1
Cartesian
-1.941 -1.599 0.776
0.000 0.000 0.000
-1.646 1.538 1.400
-1.048 -0.464 3.000
```